# 1
This record from Alexandria via LeMat-Bulk describes crystalline Mn2Al3 at its relaxed geometry. The functional is PBE.

Lattice parameters (Å, degrees): 6.392 6.392 6.392 90.00 90.00 90.00
Space group P4_132 (No. 213)
One atom of each set of equivalent atoms:
Mn (0.071, 0.071, 0.071) [8 per cell]
Al (0.046, 0.875, 0.704) [12 per cell]

**Fermi-level density of states**: 2.6 states/eV/f.u.
**E_tot**: -6.157 eV/atom
**ΔE_f**: -0.24 eV per atom

***

# 2
This record from Alexandria via LeMat-Bulk describes crystalline SiHg2Rh at its relaxed geometry. The functional is PBE.

Lattice parameters (Å, degrees): 2.9886 2.9886 29.4666 90.00 90.00 120.00
Space group R-3m (No. 166, hexagonal axes)
One atom of each set of equivalent atoms:
Si (0.0000, 0.0000, 0.0000) [3 per cell]
Hg (0.0000, 0.0000, 0.2435) [6 per cell]
Rh (0.0000, 0.0000, 0.5000) [3 per cell]

**Fermi-level density of states**: 2.6 states/eV/f.u.
**Energy relative to the elements, uncorrected**: 441 meV/atom
**E_tot**: -2.903 eV/atom

***

# 3
This record from Alexandria via LeMat-Bulk describes crystalline K2Tl7Cd at its relaxed geometry. The functional is PBE.

Lattice parameters (Å, degrees): 11.849 11.849 11.849 90.00 90.00 90.00
Space group Fm-3m (No. 225)
One atom of each set of equivalent atoms:
K (0.250, 0.250, 0.250) [8 per cell]
Tl (0.000, 0.000, 0.000) [4 per cell]
Tl (0.000, 0.000, 0.255) [24 per cell]
Cd (0.000, 0.000, 0.500) [4 per cell]

**Fermi-level density of states**: 6.3 states/eV/f.u.
**Energy relative to the lowest polymorph listed for this composition**: 191.0 meV/atom
**E_tot**: -1.818 eV/atom
**ΔE_f**: 0.15 eV per atom

***

# 4
This record from Alexandria via LeMat-Bulk describes crystalline MnAlTl2 at its relaxed geometry. The functional is PBE.

Lattice parameters (Å, degrees): 7.235 7.235 7.235 90.00 90.00 90.00
Space group F-43m (No. 216)
One atom of each set of equivalent atoms:
Mn (0.000, 0.000, 0.000) [4 per cell]
Al (0.250, 0.250, 0.750) [4 per cell]
Tl (0.000, 0.000, 0.500) [4 per cell]
Tl (0.250, 0.250, 0.250) [4 per cell]

**Fermi-level density of states**: 3.5 states/eV/f.u.
**Energy relative to the lowest polymorph listed for this composition**: 315.4 meV/atom
**E_tot**: -3.865 eV/atom
**ΔE_f**: 0.55 eV per atom

***

# 5
This record from Alexandria via LeMat-Bulk describes crystalline CsZrBe2B at its relaxed geometry. The functional is PBE.

Lattice parameters (Å, degrees): 4.004 4.004 5.731 90.00 90.00 90.00
Space group P4/mmm (No. 123)
One atom of each set of equivalent atoms:
Cs (0.000, 0.000, 0.000) [1 per cell]
Zr (0.500, 0.500, 0.000) [1 per cell]
Be (0.000, 0.500, 0.500) [2 per cell]
B (0.000, 0.000, 0.500) [1 per cell]

**Fermi-level density of states**: 3.5 states/eV/f.u.
**E_tot**: -3.202 eV/atom
**ΔE_f**: 1.50 eV per atom

***

# 6
This record from Alexandria via LeMat-Bulk describes crystalline SrCaAl2Mo at its relaxed geometry. The functional is PBE.

Lattice parameters (Å, degrees): 5.102 5.102 5.299 90.00 90.00 90.00
Space group P4/mmm (No. 123)
One atom of each set of equivalent atoms:
Sr (0.000, 0.000, 0.000) [1 per cell]
Ca (0.500, 0.500, 0.000) [1 per cell]
Al (0.000, 0.500, 0.500) [2 per cell]
Mo (0.000, 0.000, 0.500) [1 per cell]

**Fermi-level density of states**: 3.2 states/eV/f.u.
**E_tot**: -3.998 eV/atom
**ΔE_f**: 0.40 eV per atom

***

# 7
This record from Alexandria via LeMat-Bulk describes crystalline PuAg3Au at its relaxed geometry. The functional is PBE.

Lattice parameters (Å, degrees): 7.2523 7.2523 16.1063 90.00 90.00 120.00
Space group R3c (No. 161, hexagonal axes)
One atom of each set of equivalent atoms:
Pu (0.0000, 0.0000, 0.0000) [6 per cell]
Ag (0.1632, 0.4141, 0.3444) [18 per cell]
Au (0.0000, 0.0000, 0.3191) [6 per cell]

**Fermi-level density of states**: 19.6 states/eV/f.u.
**E_tot**: -5.028 eV/atom
**ΔE_f**: 0.20 eV per atom

***

# 8
This record from Alexandria via LeMat-Bulk describes crystalline PuAl9Pt2 at its relaxed geometry. The functional is PBE.

Lattice parameters (Å, degrees): 10.671 10.671 7.118 90.00 90.00 90.00
Space group I4_1/amd (No. 141, origin choice 2)
One atom of each set of equivalent atoms:
Pu (0.000, 0.250, 0.375) [4 per cell]
Al (0.000, 0.250, 0.875) [4 per cell]
Al (0.121, 0.049, 0.677) [32 per cell]
Pt (0.000, 0.000, 0.000) [8 per cell]

**Fermi-level density of states**: 7.8 states/eV/f.u.
**E_tot**: -5.520 eV/atom
**ΔE_f**: -0.51 eV per atom

***

# 9
This record from Alexandria via LeMat-Bulk describes crystalline La6Co2Hg at its relaxed geometry. The functional is PBE.

Lattice parameters (Å, degrees): 9.521 10.343 10.535 90.00 90.00 90.00
Space group Immm (No. 71)
One atom of each set of equivalent atoms:
La (0.000, 0.210, 0.217) [8 per cell]
La (0.191, 0.500, 0.169) [8 per cell]
La (0.195, 0.326, 0.500) [8 per cell]
Co (0.000, 0.336, 0.000) [4 per cell]
Co (0.000, 0.500, 0.361) [4 per cell]
Hg (0.000, 0.000, 0.000) [2 per cell]
Hg (0.000, 0.000, 0.500) [2 per cell]

**Fermi-level density of states**: 8.1 states/eV/f.u.
**Energy relative to the lowest polymorph listed for this composition**: 0.0 meV/atom
**E_tot**: -5.106 eV/atom
**ΔE_f**: -0.21 eV per atom

***

# 10
This record from Alexandria via LeMat-Bulk describes crystalline Tc2HPd at its relaxed geometry. The functional is PBE.

Lattice parameters (Å, degrees): 2.7956 2.7956 22.1914 90.00 90.00 120.00
Space group R-3m (No. 166, hexagonal axes)
One atom of each set of equivalent atoms:
Tc (0.0000, 0.0000, 0.1186) [6 per cell]
H (0.0000, 0.0000, 0.5000) [3 per cell]
Pd (0.0000, 0.0000, 0.0000) [3 per cell]

**Fermi-level density of states**: 2.7 states/eV/f.u.
**Energy relative to the lowest polymorph listed for this composition**: 0.0 meV/atom
**E_tot**: -7.034 eV/atom

***

# 11
This record from Alexandria via LeMat-Bulk describes crystalline Cr at its relaxed geometry. The functional is PBE.

Lattice parameters (Å, degrees): 6.617 6.617 6.617 90.00 90.00 90.00
Space group Fd-3m (No. 227, origin choice 2)
One atom of each set of equivalent atoms:
Cr (0.000, 0.000, 0.000) [16 per cell]
Cr (0.125, 0.125, 0.625) [8 per cell]

**Fermi-level density of states**: 1.7 states/eV/f.u.
**Energy relative to the lowest polymorph listed for this composition**: 267.7 meV/atom
**E_tot**: -9.356 eV/atom
**ΔE_f**: 0.27 eV per atom

***

# 12
This record from Alexandria via LeMat-Bulk describes crystalline TbPm2Nd6Sm at its relaxed geometry. The functional is PBE.

Lattice parameters (Å, degrees): 9.265 15.409 9.893 90.00 98.57 90.00
Space group C2/c (No. 15)
One atom of each set of equivalent atoms:
Tb (0.000, 0.092, 0.250) [4 per cell]
Pm (0.245, 0.450, 0.043) [8 per cell]
Nd (0.065, 0.316, 0.445) [8 per cell]
Nd (0.101, 0.105, 0.620) [8 per cell]
Nd (0.207, 0.278, 0.812) [8 per cell]
Sm (0.000, 0.479, 0.750) [4 per cell]

**Fermi-level density of states**: 15.0 states/eV/f.u.
**E_tot**: -4.633 eV/atom
**ΔE_f**: 0.11 eV per atom

***

Question: The highest E_tot belongs to which entry?
Answer: K2Tl7Cd

***

Question: Which value of Fermi-level density of states does entry 4 give?
Answer: 3.5 states/eV/f.u.

***

Copy entry 10 word for word.
This record from Alexandria via LeMat-Bulk describes crystalline Tc2HPd at its relaxed geometry. The functional is PBE.

Lattice parameters (Å, degrees): 2.7956 2.7956 22.1914 90.00 90.00 120.00
Space group R-3m (No. 166, hexagonal axes)
One atom of each set of equivalent atoms:
Tc (0.0000, 0.0000, 0.1186) [6 per cell]
H (0.0000, 0.0000, 0.5000) [3 per cell]
Pd (0.0000, 0.0000, 0.0000) [3 per cell]

**Fermi-level density of states**: 2.7 states/eV/f.u.
**Energy relative to the lowest polymorph listed for this composition**: 0.0 meV/atom
**E_tot**: -7.034 eV/atom

***

Question: What is the formula in the second record?
Answer: SiHg2Rh